Record 1
Density functional theory data (GGA-PBE) for a relaxed structure of HoSbBrO2.

## Properties
Total energy ... -0.2208 Ha/atom

abc: 6.931 3.700 7.985
angles: 90.00 107.94 90.00
Fractional positions:
Sb 0.201 0.250 0.939
Sb 0.799 0.750 0.061
Ho 0.166 0.250 0.419
Ho 0.834 0.750 0.581
Br 0.445 0.750 0.670
Br 0.555 0.250 0.330
O 0.016 0.250 0.636
O 0.929 0.750 0.868
O 0.984 0.750 0.364
O 0.071 0.250 0.132

---

Record 2
Density functional theory data (GGA-PBE) for a relaxed structure of Ni7Pb.

## Properties
Total energy ... -0.1910 Ha/atom
Offset from the most stable computed form ... 0 meV/atom

abc: 2.737 3.298 33.717
angles: 90.00 90.00 90.00
Fractional positions:
Pb 0.000 0.000 0.209
Pb 0.500 0.500 0.790
Ni 0.500 0.500 0.700
Ni 0.500 0.500 0.337
Ni 0.500 0.500 0.555
Ni 0.000 0.000 0.518
Ni 0.500 0.500 0.263
Ni 0.500 0.500 0.482
Ni 0.000 0.000 0.591
Ni 0.000 0.000 0.446
Ni 0.000 0.000 0.664
Ni 0.500 0.500 0.627
Ni 0.000 0.000 0.373
Ni 0.000 0.000 0.300
Ni 0.500 0.500 0.409
Ni 0.000 0.000 0.736

---

Record 3
Density functional theory data (GGA-PBE) for a relaxed structure of Zn2Sn.

## Properties
Total energy ... -0.0747 Ha/atom

abc: 5.591 5.591 4.383
angles: 90.00 90.00 60.00
Fractional positions:
Zn 0.955 0.378 0.500
Zn 0.667 0.667 0.000
Zn 0.378 0.667 0.500
Zn 0.667 0.955 0.500
Sn 0.333 0.333 0.000
Sn 0.000 0.000 0.000

---

Record 4
Density functional theory data (GGA-PBE) for a relaxed structure of SrTbZnS3.

## Properties
Total energy ... -0.1772 Ha/atom

abc: 6.941 6.941 10.402
angles: 90.00 90.00 146.88
Fractional positions:
Tb 0.500 0.500 0.000
Tb 0.500 0.500 0.500
Zn 0.973 0.027 0.250
Zn 0.027 0.973 0.750
S 0.426 0.574 0.750
S 0.859 0.141 0.425
S 0.141 0.859 0.575
S 0.141 0.859 0.925
S 0.574 0.426 0.250
S 0.859 0.141 0.075
Sr 0.749 0.251 0.750
Sr 0.251 0.749 0.250

---

Record 5
Density functional theory data (GGA-PBE) for a relaxed structure of Sc6Al7Ir5.

## Properties
Total energy ... -0.2568 Ha/atom

abc: 9.203 9.203 8.266
angles: 90.00 90.00 120.00
Fractional positions:
Sc 0.675 0.000 0.943
Sc 0.325 0.000 0.443
Sc 0.675 0.675 0.443
Sc 0.325 0.325 0.557
Sc 0.000 0.325 0.057
Sc 0.675 0.675 0.057
Sc 0.325 0.325 0.943
Sc 0.675 0.000 0.557
Sc 0.325 0.000 0.057
Sc 0.000 0.675 0.943
Sc 0.000 0.675 0.557
Sc 0.000 0.325 0.443
Al 0.505 0.672 0.750
Al 0.000 0.000 0.000
Al 0.495 0.328 0.250
Al 0.167 0.495 0.750
Al 0.505 0.833 0.250
Al 0.833 0.505 0.250
Al 0.328 0.495 0.250
Al 0.833 0.328 0.750
Al 0.495 0.167 0.750
Al 0.167 0.672 0.250
Al 0.672 0.167 0.250
Al 0.000 0.000 0.500
Al 0.328 0.833 0.750
Al 0.672 0.505 0.750
Ir 0.177 0.177 0.250
Ir 0.333 0.667 0.500
Ir 0.823 0.000 0.250
Ir 0.177 0.000 0.750
Ir 0.000 0.823 0.250
Ir 0.000 0.177 0.750
Ir 0.823 0.823 0.750
Ir 0.667 0.333 0.000
Ir 0.333 0.667 0.000
Ir 0.667 0.333 0.500

---

Record 6
Density functional theory data (GGA-PBE) for a relaxed structure of LiTaCuAs.

## Properties
Total energy ... -0.1857 Ha/atom
Offset from the most stable computed form ... 219 meV/atom

abc: 4.388 4.388 4.388
angles: 60.00 60.00 60.00
Fractional positions:
Cu 0.750 0.750 0.750
Ta 0.500 0.500 0.500
As 0.000 0.000 0.000
Li 0.250 0.250 0.250

---

Record 7
Density functional theory data (GGA-PBE) for a relaxed structure of ScZn2Ge.

## Properties
Total energy ... -0.1395 Ha/atom

abc: 3.968 3.968 4.263
angles: 90.00 90.00 90.00
Fractional positions:
Ge 0.500 0.500 0.500
Zn 0.000 0.500 0.000
Zn 0.500 0.000 0.000
Sc 0.000 0.000 0.500

---

Record 8
Density functional theory data (GGA-PBE) for a relaxed structure of CsNiIrS3.

## Properties
Total energy ... -0.1874 Ha/atom

abc: 7.927 7.927 9.408
angles: 90.00 90.00 153.16
Fractional positions:
S 0.597 0.403 0.552
S 0.403 0.597 0.448
S 0.940 0.060 0.750
S 0.597 0.403 0.948
S 0.060 0.940 0.250
S 0.403 0.597 0.052
Cs 0.248 0.752 0.750
Cs 0.752 0.248 0.250
Ni 0.478 0.522 0.250
Ni 0.522 0.478 0.750
Ir 0.000 0.000 0.500
Ir 0.000 0.000 0.000

---

no.,theoretical density (g cm⁻³)
1,6.79
2,6.74
3,6.99
4,4.95
5,7.78
6,9.07
7,6.15
8,5.97